Compound: PrTm2MoO8
Source: Alexandria
Functional: GGA+U
Structure: optimized geometry

Cell lengths 7.051, 7.101, 6.941 Å; angles 90.00, 90.00, 90.00 degrees
Space group Cmmm (No. 65)
Asymmetric unit:
Pr: 0.000 0.000 0.000 x2
Tm: 0.000 0.500 0.261 x4
Mo: 0.000 0.000 0.500 x2
O: 0.000 0.187 0.295 x8
O: 0.177 0.500 0.000 x4
O: 0.220 0.500 0.500 x4

Summary:
**Final energy**: -7.711 eV/atom
**D(E_F)**: 7.636 states/eV per cell
**M_tot**: 1.694 Bohr magnetons per cell
**Volume**: 347.6 Å³/cell